Entry 1:
! BSbW2 | Alexandria | PBE-GGA | optimized geometry; values from VASP
! * DFT total energy: -8.154 eV per atom
! * SG: No. 225
! * ΔE_f (raw): 1023 meV per atom
! * DOS at the Fermi energy: 4.33 states/eV per cell
&SYSTEM
  ibrav = 0, nat = 4, ntyp = 3
/
ATOMIC_SPECIES
B 10.81 B.upf
Sb 121.76 Sb.upf
W 183.84 W.upf
CELL_PARAMETERS angstrom
0.000 3.119 3.119
3.119 0.000 3.119
3.119 3.119 0.000
ATOMIC_POSITIONS crystal
B 0.000 0.000 0.000
Sb 0.500 0.500 0.500
W 0.250 0.250 0.250
W 0.750 0.750 0.750

Entry 2:
! AlAs2Au | Alexandria | PBE-GGA | optimized geometry; values from VASP
! * DFT total energy: -4.189 eV per atom
! * SG: No. 12
! * DOS at the Fermi energy: 0.88 states/eV per cell
! * formation energy from the elements: -0.109 eV per atom
&SYSTEM
  ibrav = 0, nat = 4, ntyp = 3
/
ATOMIC_SPECIES
Al 26.98 Al.upf
As 74.92 As.upf
Au 196.97 Au.upf
CELL_PARAMETERS angstrom
5.712 -1.845 0.000
5.712 1.845 0.000
-1.339 0.000 3.808
ATOMIC_POSITIONS crystal
Al 0.000 0.000 0.000
As 0.261 0.261 0.305
As 0.739 0.739 0.695
Au 0.500 0.500 0.500

Entry 3:
! BeMoCl2 | Alexandria | PBE-GGA | optimized geometry; values from VASP
! * DFT total energy: -4.662 eV per atom
! * SG: No. 12
! * ΔE_f (raw): -99 meV per atom
! * ΔE to the lowest computed polymorph: 0.205 eV/atom
! * DOS at the Fermi energy: 2.78 states/eV per cell
&SYSTEM
  ibrav = 0, nat = 4, ntyp = 3
/
ATOMIC_SPECIES
Be 9.01 Be.upf
Mo 95.94 Mo.upf
Cl 35.45 Cl.upf
CELL_PARAMETERS angstrom
7.515 -1.594 0.000
7.515 1.594 0.000
-0.655 0.000 3.503
ATOMIC_POSITIONS crystal
Be 0.000 0.000 0.000
Mo 0.500 0.500 0.500
Cl 0.129 0.129 0.603
Cl 0.871 0.871 0.397

Entry 4:
! BaCrCl2 | Alexandria | PBE-GGA | optimized geometry; values from VASP
! * DFT total energy: -4.701 eV per atom
! * SG: No. 160
! * ΔE_f (raw): -891 meV per atom
! * ΔE to the lowest computed polymorph: 0.073 eV/atom
! * DOS at the Fermi energy: 2.65 states/eV per cell
&SYSTEM
  ibrav = 0, nat = 4, ntyp = 3
/
ATOMIC_SPECIES
Ba 137.33 Ba.upf
Cr 52.00 Cr.upf
Cl 35.45 Cl.upf
CELL_PARAMETERS angstrom
2.211 1.276 6.804
-2.211 1.276 6.804
0.000 -2.553 6.804
ATOMIC_POSITIONS crystal
Ba 0.000 0.000 0.000
Cr 0.794 0.794 0.794
Cl 0.242 0.242 0.242
Cl 0.443 0.443 0.443

Entry 5:
! Y2ReBTe | Alexandria | PBE-GGA | optimized geometry; values from VASP
! * DFT total energy: -6.039 eV per atom
! * SG: No. 123
! * ΔE_f (raw): 1000 meV per atom
! * DOS at the Fermi energy: 4.28 states/eV per cell
&SYSTEM
  ibrav = 0, nat = 5, ntyp = 4
/
ATOMIC_SPECIES
Y 88.91 Y.upf
Re 186.21 Re.upf
B 10.81 B.upf
Te 127.60 Te.upf
CELL_PARAMETERS angstrom
5.422 0.000 0.000
0.000 5.422 0.000
0.000 0.000 4.949
ATOMIC_POSITIONS crystal
Y 0.000 0.500 0.000
Y 0.500 0.000 0.000
Re 0.000 0.000 0.000
B 0.500 0.500 0.500
Te 0.000 0.000 0.500

Entry 6:
! KSc2Pt | Alexandria | PBE-GGA | optimized geometry; values from VASP
! * DFT total energy: -4.983 eV per atom
! * SG: No. 225
! * ΔE to the lowest computed polymorph: 0.340 eV/atom
! * DOS at the Fermi energy: 3.99 states/eV per cell
! * formation energy from the elements: -0.033 eV per atom
&SYSTEM
  ibrav = 0, nat = 4, ntyp = 3
/
ATOMIC_SPECIES
K 39.10 K.upf
Sc 44.96 Sc.upf
Pt 195.08 Pt.upf
CELL_PARAMETERS angstrom
0.000 3.501 3.501
3.501 0.000 3.501
3.501 3.501 0.000
ATOMIC_POSITIONS crystal
K 0.000 0.000 0.000
Sc 0.250 0.250 0.250
Sc 0.750 0.750 0.750
Pt 0.500 0.500 0.500

Entry 7:
! CaNbOs2 | Alexandria | PBE-GGA | optimized geometry; values from VASP
! * DFT total energy: -7.893 eV per atom
! * SG: No. 122
! * ΔE to the lowest computed polymorph: 0.482 eV/atom
! * DOS at the Fermi energy: 7.92 states/eV per cell
! * formation energy from the elements: 0.739 eV per atom
&SYSTEM
  ibrav = 0, nat = 8, ntyp = 3
/
ATOMIC_SPECIES
Ca 40.08 Ca.upf
Nb 92.91 Nb.upf
Os 190.23 Os.upf
CELL_PARAMETERS angstrom
-3.710 3.710 2.852
3.710 -3.710 2.852
3.710 3.710 -2.852
ATOMIC_POSITIONS crystal
Ca 0.000 0.000 0.000
Ca 0.750 0.250 0.500
Nb 0.250 0.750 0.500
Nb 0.500 0.500 0.000
Os 0.165 0.125 0.540
Os 0.375 0.835 0.960
Os 0.585 0.625 0.460
Os 0.875 0.415 0.040

Entry 8:
! Ba2CaPbO | Alexandria | PBE-GGA | optimized geometry; values from VASP
! * DFT total energy: -4.262 eV per atom
! * SG: No. 123
! * ΔE_f (raw): -1359 meV per atom
! * DOS at the Fermi energy: 0.58 states/eV per cell
&SYSTEM
  ibrav = 0, nat = 5, ntyp = 4
/
ATOMIC_SPECIES
Ba 137.33 Ba.upf
Ca 40.08 Ca.upf
Pb 207.20 Pb.upf
O 16.00 O.upf
CELL_PARAMETERS angstrom
5.579 0.000 0.000
0.000 5.579 0.000
0.000 0.000 4.952
ATOMIC_POSITIONS crystal
Ba 0.000 0.500 0.000
Ba 0.500 0.000 0.000
Ca 0.000 0.000 0.500
Pb 0.500 0.500 0.500
O 0.000 0.000 0.000

Entry 9:
! Sc2PaVC4 | Alexandria | PBE-GGA | optimized geometry; values from VASP
! * DFT total energy: -8.778 eV per atom
! * SG: No. 63
! * DOS at the Fermi energy: 3.40 states/eV per cell
! * formation energy from the elements: -0.257 eV per atom
&SYSTEM
  ibrav = 0, nat = 16, ntyp = 4
/
ATOMIC_SPECIES
Sc 44.96 Sc.upf
Pa 231.04 Pa.upf
V 50.94 V.upf
C 12.01 C.upf
CELL_PARAMETERS angstrom
1.685 -5.671 0.000
1.685 5.671 0.000
0.000 0.000 11.253
ATOMIC_POSITIONS crystal
Sc 0.129 0.871 0.542
Sc 0.129 0.871 0.958
Sc 0.871 0.129 0.042
Sc 0.871 0.129 0.458
Pa 0.389 0.611 0.750
Pa 0.611 0.389 0.250
V 0.347 0.653 0.250
V 0.653 0.347 0.750
C 0.052 0.948 0.750
C 0.235 0.765 0.128
C 0.235 0.765 0.372
C 0.500 0.500 0.000
C 0.500 0.500 0.500
C 0.765 0.235 0.628
C 0.765 0.235 0.872
C 0.948 0.052 0.250

Entry 10:
! CaDyPbAu | Alexandria | PBE-GGA | optimized geometry; values from VASP
! * DFT total energy: -4.058 eV per atom
! * SG: No. 216
! * DOS at the Fermi energy: 1.43 states/eV per cell
! * formation energy from the elements: -0.660 eV per atom
&SYSTEM
  ibrav = 0, nat = 4, ntyp = 4
/
ATOMIC_SPECIES
Ca 40.08 Ca.upf
Dy 162.50 Dy.upf
Pb 207.20 Pb.upf
Au 196.97 Au.upf
CELL_PARAMETERS angstrom
0.000 3.743 3.743
3.743 0.000 3.743
3.743 3.743 0.000
ATOMIC_POSITIONS crystal
Ca 0.000 0.000 0.000
Dy 0.500 0.500 0.500
Pb 0.750 0.750 0.750
Au 0.250 0.250 0.250

Entry 11:
! PdF | Alexandria | PBE-GGA | optimized geometry; values from VASP
! * DFT total energy: -4.114 eV per atom
! * SG: No. 176
! * ΔE_f (raw): -582 meV per atom
! * ΔE to the lowest computed polymorph: 0.143 eV/atom
! * DOS at the Fermi energy: 11.41 states/eV per cell
&SYSTEM
  ibrav = 0, nat = 12, ntyp = 2
/
ATOMIC_SPECIES
Pd 106.42 Pd.upf
F 19.00 F.upf
CELL_PARAMETERS angstrom
7.596 0.000 0.000
-3.798 6.579 0.000
0.000 0.000 3.729
ATOMIC_POSITIONS crystal
Pd 0.098 0.463 0.250
Pd 0.365 0.902 0.250
Pd 0.463 0.365 0.750
Pd 0.537 0.635 0.250
Pd 0.635 0.098 0.750
Pd 0.902 0.537 0.750
F 0.182 0.817 0.750
F 0.183 0.365 0.750
F 0.365 0.182 0.250
F 0.635 0.818 0.750
F 0.817 0.635 0.250
F 0.818 0.183 0.250

Entry 12:
! Ho2MgGe4Pt3 | Alexandria | PBE-GGA | optimized geometry; values from VASP
! * DFT total energy: -5.554 eV per atom
! * SG: No. 115
! * DOS at the Fermi energy: 3.20 states/eV per cell
! * formation energy from the elements: -0.819 eV per atom
&SYSTEM
  ibrav = 0, nat = 10, ntyp = 4
/
ATOMIC_SPECIES
Ho 164.93 Ho.upf
Mg 24.30 Mg.upf
Ge 72.64 Ge.upf
Pt 195.08 Pt.upf
CELL_PARAMETERS angstrom
4.118 0.000 0.000
0.000 4.118 0.000
0.000 0.000 11.194
ATOMIC_POSITIONS crystal
Ho 0.000 0.500 0.247
Ho 0.500 0.000 0.753
Mg 0.500 0.500 0.000
Ge 0.000 0.000 0.500
Ge 0.000 0.500 0.853
Ge 0.500 0.000 0.147
Ge 0.500 0.500 0.500
Pt 0.000 0.000 0.000
Pt 0.000 0.500 0.634
Pt 0.500 0.000 0.366